First-principles (PBE-GGA) data for a relaxed Sm4IrSe2Cl crystal, as listed in Alexandria.

Cell lengths 4.069, 7.358, 7.269 Å; angles 71.41, 90.00, 90.00 degrees
Fractional positions:
Sm: 0.500 0.271 0.724
Sm: 0.500 0.729 0.276
Ir: 0.000 0.500 0.500
Se: 0.500 0.000 0.500
Sm: 0.000 0.251 0.265
Se: 0.000 0.000 0.000
Cl: 0.500 0.500 0.000
Sm: 0.000 0.749 0.735

E: -48.1 eV per formula unit
mass density: 7.9 g/cm3
uncorrected formation energy: -1.45 eV/atom